The following is a PBE calculation of an optimized crystal structure of Pa2Ga3Pd5, from Alexandria.

total DFT energy (no corrections) = -5.988 eV per atom
calculated density = 10.85 g/cm³
SG = Ibam
V = 18.4 Å³/atom
ΔE_f = -0.58 eV per atom

Unit cell a=8.499 b=8.499 c=8.499 alpha=99.63 beta=93.65 gamma=140.28
Positions (direct):
Pa: 0.222 0.131 0.352
Pa: 0.278 0.631 0.909
Pa: 0.722 0.369 0.091
Pa: 0.778 0.869 0.648
Ga: 0.121 0.863 0.984
Ga: 0.250 0.750 0.500
Ga: 0.379 0.363 0.741
Ga: 0.621 0.637 0.259
Ga: 0.750 0.250 0.500
Ga: 0.879 0.137 0.016
Pd: 0.168 0.400 0.569
Pd: 0.250 0.250 0.000
Pd: 0.250 0.520 0.270
Pd: 0.250 0.980 0.730
Pd: 0.332 0.900 0.232
Pd: 0.668 0.100 0.768
Pd: 0.750 0.020 0.270
Pd: 0.750 0.480 0.730
Pd: 0.750 0.750 0.000
Pd: 0.832 0.600 0.431